No. 1
Density functional theory data (PBE-GGA) for a geometry-optimized Ge2BMo8 structure.

## Properties
Its volume is 14.896 A^3/atom. As for the crystal system: monoclinic. The symmetry is C2/m. As for the size of the total moment: 0.00 μB/cell. For the calculated formation energy, the calculation gives 0.048 eV/atom.

The structure in POSCAR format:
```
Ge2BMo8
1.0
7.1858 -2.1932 0.0000
7.1858 2.1932 0.0000
-0.8224 0.0000 5.1987
Ge B Mo
2 1 8
Direct
0.1539 0.1539 0.2833
0.8461 0.8461 0.7167
0.5000 0.5000 0.5000
0.0280 0.0280 0.7441
0.2236 0.2236 0.8478
0.3377 0.3377 0.4255
0.4106 0.4106 0.9871
0.5894 0.5894 0.0129
0.6623 0.6623 0.5745
0.7764 0.7764 0.1522
0.9720 0.9720 0.2559
```

---

No. 2
Density functional theory data (PBE-GGA) for a geometry-optimized Ge3BMo structure.

## Properties
Its volume is 16.535 A^3/atom. As for the crystal system: cubic. The symmetry is Pm-3m. As for the size of the total moment: 2.73 μB/cell. For the calculated formation energy, the calculation gives 1.036 eV/atom. Its energy relative to the lowest polymorph listed for this composition is 0.00 eV per formula unit.

The structure in POSCAR format:
```
Ge3BMo
1.0
4.3564 0.0000 0.0000
0.0000 4.3564 0.0000
0.0000 0.0000 4.3564
Ge B Mo
3 1 1
Direct
0.0000 0.0000 0.5000
0.0000 0.5000 0.0000
0.5000 0.0000 0.0000
0.0000 0.0000 0.0000
0.5000 0.5000 0.5000
```

---

No. 3
Density functional theory data (PBE-GGA) for a geometry-optimized GeBMo2 structure.

## Properties
Its volume is 13.998 A^3/atom. As for the crystal system: trigonal. The symmetry is R-3m. As for the size of the total moment: 0.00 μB/cell. For the calculated formation energy, the calculation gives -0.117 eV/atom. Its energy relative to the lowest polymorph listed for this composition is 0.00 eV per formula unit.

The structure in POSCAR format:
```
GeBMo2
1.0
1.5759 0.9099 6.5079
-1.5759 0.9099 6.5079
0.0000 -1.8197 6.5079
Ge B Mo
1 1 2
Direct
0.0000 0.0000 0.0000
0.5000 0.5000 0.5000
0.2271 0.2271 0.2271
0.7729 0.7729 0.7729
```

---

No. 4
Density functional theory data (PBE-GGA) for a geometry-optimized GeB2Mo5 structure.

## Properties
Its volume is 13.083 A^3/atom. As for the crystal system: tetragonal. The symmetry is I4/mcm. As for the size of the total moment: 0.00 μB/cell. For the calculated formation energy, the calculation gives -0.302 eV/atom.

The structure in POSCAR format:
```
GeB2Mo5
1.0
-3.0682 3.0682 5.5591
3.0682 -3.0682 5.5591
3.0682 3.0682 -5.5591
Ge B Mo
2 4 10
Direct
0.2500 0.2500 0.0000
0.7500 0.7500 0.0000
0.1309 0.6309 0.7618
0.3691 0.1309 0.5000
0.6309 0.8691 0.5000
0.8691 0.3691 0.2382
0.0000 0.0000 0.0000
0.0190 0.2059 0.5000
0.2059 0.7059 0.1869
0.2941 0.4810 0.5000
0.4810 0.9810 0.1869
0.5000 0.5000 0.0000
0.5190 0.0190 0.8131
0.7059 0.5190 0.5000
0.7941 0.2941 0.8131
0.9810 0.7941 0.5000
```

---

No. 5
Density functional theory data (PBE-GGA) for a geometry-optimized GeB3Mo structure.

## Properties
Its volume is 12.515 A^3/atom. As for the crystal system: cubic. The symmetry is Pm-3m. As for the size of the total moment: 0.00 μB/cell. For the calculated formation energy, the calculation gives 2.098 eV/atom. Its energy relative to the lowest polymorph listed for this composition is 3.82 eV per formula unit.

The structure in POSCAR format:
```
GeB3Mo
1.0
3.9700 0.0000 0.0000
0.0000 3.9700 0.0000
0.0000 0.0000 3.9700
Ge B Mo
1 3 1
Direct
0.0000 0.0000 0.0000
0.0000 0.0000 0.5000
0.0000 0.5000 0.0000
0.5000 0.0000 0.0000
0.5000 0.5000 0.5000
```

---

No. 6
Density functional theory data (PBE-GGA) for a geometry-optimized NaGeB2Mo structure.

## Properties
Its volume is 17.726 A^3/atom. As for the crystal system: tetragonal. The symmetry is P4/mmm. As for the size of the total moment: 0.00 μB/cell. For the calculated formation energy, the calculation gives 0.734 eV/atom.

The structure in POSCAR format:
```
NaGeB2Mo
1.0
4.3096 0.0000 0.0000
0.0000 4.3096 0.0000
0.0000 0.0000 4.7720
Na Ge B Mo
1 1 2 1
Direct
0.0000 0.0000 0.0000
0.5000 0.5000 0.0000
0.0000 0.5000 0.5000
0.5000 0.0000 0.5000
0.5000 0.5000 0.5000
```

---

No. 7
Density functional theory data (PBE-GGA) for a geometry-optimized GeBMoOs2 structure.

## Properties
Its volume is 14.116 A^3/atom. As for the crystal system: tetragonal. The symmetry is P4/mmm. As for the size of the total moment: 0.99 μB/cell. For the calculated formation energy, the calculation gives 0.409 eV/atom.

The structure in POSCAR format:
```
GeBMoOs2
1.0
4.0949 0.0000 0.0000
0.0000 4.0949 0.0000
0.0000 0.0000 4.2092
Ge B Mo Os
1 1 1 2
Direct
0.0000 0.0000 0.0000
0.5000 0.5000 0.5000
0.5000 0.5000 0.0000
0.0000 0.5000 0.5000
0.5000 0.0000 0.5000
```

---

No. 8
Density functional theory data (PBE-GGA) for a geometry-optimized GeB2MoPb structure.

## Properties
Its volume is 20.762 A^3/atom. As for the crystal system: tetragonal. The symmetry is P4/mmm. As for the size of the total moment: 0.00 μB/cell. For the calculated formation energy, the calculation gives 2.487 eV/atom.

The structure in POSCAR format:
```
GeB2MoPb
1.0
4.3040 0.0000 0.0000
0.0000 4.3040 0.0000
0.0000 0.0000 5.6039
Ge B Mo Pb
1 2 1 1
Direct
0.0000 0.0000 0.0000
0.0000 0.5000 0.5000
0.5000 0.0000 0.5000
0.5000 0.5000 0.0000
0.5000 0.5000 0.5000
```

---

No. 9
Density functional theory data (PBE-GGA) for a geometry-optimized Ge2BMoS structure.

## Properties
Its volume is 22.353 A^3/atom. As for the crystal system: tetragonal. The symmetry is P4/mmm. The calculation puts the raw formation energy at 1.156 eV/atom. As for the size of the total moment: 0.00 μB/cell.

The structure in POSCAR format:
```
Ge2BMoS
1.0
4.9693 0.0000 0.0000
0.0000 4.9693 0.0000
0.0000 0.0000 4.5259
Ge B Mo S
2 1 1 1
Direct
0.0000 0.5000 0.0000
0.5000 0.0000 0.0000
0.0000 0.0000 0.5000
0.5000 0.5000 0.0000
0.5000 0.5000 0.5000
```

---

No. 10
Density functional theory data (PBE-GGA) for a geometry-optimized Ge2BTeMo structure.

## Properties
Its volume is 24.805 A^3/atom. As for the crystal system: tetragonal. The symmetry is P4/mmm. The calculation puts the raw formation energy at 1.911 eV/atom. As for the size of the total moment: 3.67 μB/cell.

The structure in POSCAR format:
```
Ge2BTeMo
1.0
5.4098 0.0000 0.0000
0.0000 5.4098 0.0000
0.0000 0.0000 4.2378
Ge B Te Mo
2 1 1 1
Direct
0.0000 0.5000 0.0000
0.5000 0.0000 0.0000
0.0000 0.0000 0.5000
0.0000 0.0000 0.0000
0.5000 0.5000 0.5000
```

---

No. 11
Density functional theory data (PBE-GGA) for a geometry-optimized TiGe2BMo structure.

## Properties
Its volume is 18.889 A^3/atom. As for the crystal system: tetragonal. The symmetry is P4/mmm. As for the size of the total moment: 0.00 μB/cell. For the calculated formation energy, the calculation gives 0.854 eV/atom.

The structure in POSCAR format:
```
TiGe2BMo
1.0
4.8058 0.0000 0.0000
0.0000 4.8058 0.0000
0.0000 0.0000 4.0893
Ti Ge B Mo
1 2 1 1
Direct
0.0000 0.0000 0.0000
0.0000 0.5000 0.5000
0.5000 0.0000 0.5000
0.5000 0.5000 0.0000
0.5000 0.5000 0.5000
```

---

No. 12
Density functional theory data (PBE-GGA) for a geometry-optimized TlGeBMo2 structure.

## Properties
Its volume is 17.682 A^3/atom. As for the crystal system: tetragonal. The symmetry is P4/mmm. As for the size of the total moment: 0.41 μB/cell. For the calculated formation energy, the calculation gives 1.439 eV/atom.

The structure in POSCAR format:
```
TlGeBMo2
1.0
4.8613 0.0000 0.0000
0.0000 4.8613 0.0000
0.0000 0.0000 3.7411
Tl Ge B Mo
1 1 1 2
Direct
0.0000 0.0000 0.0000
0.5000 0.5000 0.5000
0.5000 0.5000 0.0000
0.0000 0.5000 0.5000
0.5000 0.0000 0.5000
```

---

Number 7 is which compound? GeBMoOs2

---

Which value of size of the total moment does entry 7 give? 0.99 μB/cell

---

Copy entry 11 word for word.
Density functional theory data (PBE-GGA) for a geometry-optimized TiGe2BMo structure.

## Properties
Its volume is 18.889 A^3/atom. As for the crystal system: tetragonal. The symmetry is P4/mmm. As for the size of the total moment: 0.00 μB/cell. For the calculated formation energy, the calculation gives 0.854 eV/atom.

The structure in POSCAR format:
```
TiGe2BMo
1.0
4.8058 0.0000 0.0000
0.0000 4.8058 0.0000
0.0000 0.0000 4.0893
Ti Ge B Mo
1 2 1 1
Direct
0.0000 0.0000 0.0000
0.0000 0.5000 0.5000
0.5000 0.0000 0.5000
0.5000 0.5000 0.0000
0.5000 0.5000 0.5000
```

---

Which value of size of the total moment does entry 3 give? 0.00 μB/cell